The following is a DFT calculation (PBE-GGA) of a relaxed structure of LiLa2Al. Values from VASP.

```
&SYSTEM
  ibrav = 0, nat = 4, ntyp = 3
/
ATOMIC_SPECIES
Li 6.94 Li.upf
La 138.91 La.upf
Al 26.98 Al.upf
CELL_PARAMETERS angstrom
1.857 1.072 10.467
-1.857 1.072 10.467
0.000 -2.144 10.467
ATOMIC_POSITIONS angstrom
Li 0.000 0.000 0.000
La 0.000 0.000 7.522
La 0.000 0.000 23.880
Al 0.000 0.000 15.701
```

Mass density   4.14 g cm⁻³
Formation energy from the elements   27 meV per atom
Spin magnetization   0.0 Bohr magnetons per cell



The following is a DFT calculation (PBE-GGA) of a relaxed structure of LiLa4Al3. Values from VASP.

```
&SYSTEM
  ibrav = 0, nat = 8, ntyp = 3
/
ATOMIC_SPECIES
Li 6.94 Li.upf
La 138.91 La.upf
Al 26.98 Al.upf
CELL_PARAMETERS angstrom
-2.675 2.675 7.769
2.675 -2.675 7.769
2.675 2.675 -7.769
ATOMIC_POSITIONS angstrom
Li 0.000 0.000 0.000
La 2.675 0.000 1.996
La 2.675 0.000 5.773
La 0.000 2.675 1.996
La 0.000 2.675 5.773
Al 0.000 0.000 3.842
Al 0.000 0.000 7.769
Al 0.000 0.000 11.696
```

Mass density   4.80 g cm⁻³
Formation energy from the elements   -279 meV per atom
Spin magnetization   0.0 Bohr magnetons per cell



The following is a DFT calculation (PBE-GGA) of a relaxed structure of Li2LaAl. Values from VASP.

```
&SYSTEM
  ibrav = 0, nat = 4, ntyp = 3
/
ATOMIC_SPECIES
Li 6.94 Li.upf
La 138.91 La.upf
Al 26.98 Al.upf
CELL_PARAMETERS angstrom
-1.547 2.772 6.121
1.547 -2.772 6.121
1.547 2.772 -6.121
ATOMIC_POSITIONS angstrom
Li 0.000 0.000 2.688
Li 0.000 0.000 9.554
La 0.000 0.000 6.121
Al 0.000 0.000 0.000
```

Mass density   2.84 g cm⁻³
Formation energy from the elements   110 meV per atom
Spin magnetization   0.0 Bohr magnetons per cell



The following is a DFT calculation (PBE-GGA) of a relaxed structure of LiLa8Al2. Values from VASP.

```
&SYSTEM
  ibrav = 0, nat = 11, ntyp = 3
/
ATOMIC_SPECIES
Li 6.94 Li.upf
La 138.91 La.upf
Al 26.98 Al.upf
CELL_PARAMETERS angstrom
-2.683 4.708 6.877
2.683 -4.708 6.877
2.683 4.708 -6.877
ATOMIC_POSITIONS angstrom
Li 0.000 0.000 0.000
La 2.683 -1.911 4.716
La 2.683 0.000 1.973
La 2.683 3.238 0.000
La 0.000 2.797 2.162
La 2.683 1.911 4.716
La 0.000 1.470 6.877
La 0.000 4.708 4.904
La 0.000 6.619 2.162
Al 0.000 0.000 3.925
Al 0.000 0.000 9.830
```

Mass density   5.60 g cm⁻³
Formation energy from the elements   -89 meV per atom
Spin magnetization   0.0 Bohr magnetons per cell



The following is a DFT calculation (PBE-GGA) of a relaxed structure of LiLa3Al. Values from VASP.

```
&SYSTEM
  ibrav = 0, nat = 5, ntyp = 3
/
ATOMIC_SPECIES
Li 6.94 Li.upf
La 138.91 La.upf
Al 26.98 Al.upf
CELL_PARAMETERS angstrom
5.895 0.000 0.000
0.000 5.895 0.000
0.000 0.000 5.895
ATOMIC_POSITIONS angstrom
Li 0.000 0.000 0.000
La 0.000 2.948 2.948
La 2.948 0.000 2.948
La 2.948 2.948 0.000
Al 2.948 2.948 2.948
```

Mass density   3.65 g cm⁻³
Formation energy from the elements   317 meV per atom
Polymorph energy (0 for the lowest one)   0 meV/atom
Spin magnetization   0.9 Bohr magnetons per cell



The following is a DFT calculation (PBE-GGA) of a relaxed structure of LiLa2Al. Values from VASP.

```
&SYSTEM
  ibrav = 0, nat = 4, ntyp = 3
/
ATOMIC_SPECIES
Li 6.94 Li.upf
La 138.91 La.upf
Al 26.98 Al.upf
CELL_PARAMETERS angstrom
3.774 -3.785 0.000
3.774 3.785 0.000
0.000 0.000 3.924
ATOMIC_POSITIONS angstrom
Li 0.000 0.000 0.000
La 1.887 1.893 1.962
La 1.887 -1.893 1.962
Al 3.774 0.000 0.000
```

Mass density   4.62 g cm⁻³
Formation energy from the elements   -165 meV per atom
Spin magnetization   0.0 Bohr magnetons per cell



The following is a DFT calculation (PBE-GGA) of a relaxed structure of Li2LaAl. Values from VASP.

```
&SYSTEM
  ibrav = 0, nat = 4, ntyp = 3
/
ATOMIC_SPECIES
Li 6.94 Li.upf
La 138.91 La.upf
Al 26.98 Al.upf
CELL_PARAMETERS angstrom
4.967 0.000 0.000
0.000 4.967 0.000
0.000 0.000 3.601
ATOMIC_POSITIONS angstrom
Li 0.000 2.483 0.000
Li 2.483 0.000 0.000
La 0.000 0.000 1.800
Al 2.483 2.483 1.800
```

Mass density   3.36 g cm⁻³
Formation energy from the elements   78 meV per atom
Spin magnetization   0.0 Bohr magnetons per cell



The following is a DFT calculation (PBE-GGA) of a relaxed structure of LiLa2Al3. Values from VASP.

```
&SYSTEM
  ibrav = 0, nat = 6, ntyp = 3
/
ATOMIC_SPECIES
Li 6.94 Li.upf
La 138.91 La.upf
Al 26.98 Al.upf
CELL_PARAMETERS angstrom
2.898 1.673 4.674
-2.898 1.673 4.674
0.000 -3.346 4.674
ATOMIC_POSITIONS angstrom
Li 0.000 0.000 0.000
La 0.000 0.000 5.372
La 0.000 0.000 8.649
Al -2.898 0.000 7.010
Al -1.449 0.837 2.337
Al 1.449 0.837 2.337
```

Mass density   4.47 g cm⁻³
Formation energy from the elements   -386 meV per atom
Polymorph energy (0 for the lowest one)   0 meV/atom
Spin magnetization   0.0 Bohr magnetons per cell



The following is a DFT calculation (PBE-GGA) of a relaxed structure of LiLa4Al. Values from VASP.

```
&SYSTEM
  ibrav = 0, nat = 6, ntyp = 3
/
ATOMIC_SPECIES
Li 6.94 Li.upf
La 138.91 La.upf
Al 26.98 Al.upf
CELL_PARAMETERS angstrom
0.000 4.624 4.624
4.624 0.000 4.624
4.624 4.624 0.000
ATOMIC_POSITIONS angstrom
Li 0.000 0.000 0.000
La 3.502 3.502 3.502
La 5.747 5.747 3.502
La 5.747 3.502 5.747
La 3.502 5.747 5.747
Al 6.937 6.937 6.937
```

Mass density   4.95 g cm⁻³
Formation energy from the elements   334 meV per atom
Polymorph energy (0 for the lowest one)   422 meV/atom
Spin magnetization   0.0 Bohr magnetons per cell



The following is a DFT calculation (PBE-GGA) of a relaxed structure of Li2La3Al9. Values from VASP.

```
&SYSTEM
  ibrav = 0, nat = 14, ntyp = 3
/
ATOMIC_SPECIES
Li 6.94 Li.upf
La 138.91 La.upf
Al 26.98 Al.upf
CELL_PARAMETERS angstrom
-2.268 4.901 6.701
2.268 -4.901 6.701
2.268 4.901 -6.701
ATOMIC_POSITIONS angstrom
Li 0.000 1.935 0.000
Li 0.000 7.867 0.000
La 0.000 0.000 2.586
La 0.000 0.000 6.701
La 0.000 0.000 10.816
Al 2.268 0.000 0.000
Al 2.268 2.184 -1.842
Al 2.268 -1.332 4.531
Al 2.268 2.184 1.842
Al 2.268 1.332 4.531
Al 0.000 3.569 2.170
Al 0.000 2.717 4.859
Al 0.000 6.233 2.170
Al 0.000 2.717 8.543
```

Mass density   3.75 g cm⁻³
Formation energy from the elements   -384 meV per atom
Spin magnetization   0.0 Bohr magnetons per cell



The following is a DFT calculation (PBE-GGA) of a relaxed structure of LiLa2Al. Values from VASP.

```
&SYSTEM
  ibrav = 0, nat = 4, ntyp = 3
/
ATOMIC_SPECIES
Li 6.94 Li.upf
La 138.91 La.upf
Al 26.98 Al.upf
CELL_PARAMETERS angstrom
0.000 3.728 3.728
3.728 0.000 3.728
3.728 3.728 0.000
ATOMIC_POSITIONS angstrom
Li 0.000 0.000 0.000
La 1.864 1.864 1.864
La 3.728 3.728 3.728
Al 5.591 5.591 5.591
```

Mass density   5.00 g cm⁻³
Formation energy from the elements   46 meV per atom
Spin magnetization   1.1 Bohr magnetons per cell



The following is a DFT calculation (PBE-GGA) of a relaxed structure of LiLaLuAl. Values from VASP.

```
&SYSTEM
  ibrav = 0, nat = 4, ntyp = 4
/
ATOMIC_SPECIES
Li 6.94 Li.upf
La 138.91 La.upf
Lu 174.97 Lu.upf
Al 26.98 Al.upf
CELL_PARAMETERS angstrom
0.000 3.704 3.704
3.704 0.000 3.704
3.704 3.704 0.000
ATOMIC_POSITIONS angstrom
Li 0.000 0.000 0.000
La 5.557 5.557 5.557
Lu 1.852 1.852 1.852
Al 3.704 3.704 3.704
```

Mass density   5.68 g cm⁻³
Formation energy from the elements   -186 meV per atom
Spin magnetization   0.0 Bohr magnetons per cell



The following is a DFT calculation (PBE-GGA) of a relaxed structure of LiLaMgAl. Values from VASP.

```
&SYSTEM
  ibrav = 0, nat = 4, ntyp = 4
/
ATOMIC_SPECIES
Li 6.94 Li.upf
La 138.91 La.upf
Mg 24.30 Mg.upf
Al 26.98 Al.upf
CELL_PARAMETERS angstrom
0.000 3.600 3.600
3.600 0.000 3.600
3.600 3.600 0.000
ATOMIC_POSITIONS angstrom
Li 0.000 0.000 0.000
La 5.400 5.400 5.400
Mg 1.800 1.800 1.800
Al 3.600 3.600 3.600
```

Mass density   3.51 g cm⁻³
Formation energy from the elements   -231 meV per atom
Spin magnetization   0.0 Bohr magnetons per cell



The following is a DFT calculation (PBE-GGA) of a relaxed structure of LiLa2MnAl. Values from VASP.

```
&SYSTEM
  ibrav = 0, nat = 5, ntyp = 4
/
ATOMIC_SPECIES
Li 6.94 Li.upf
La 138.91 La.upf
Mn 54.94 Mn.upf
Al 26.98 Al.upf
CELL_PARAMETERS angstrom
5.319 0.000 0.000
0.000 5.319 0.000
0.000 0.000 4.477
ATOMIC_POSITIONS angstrom
Li 0.000 0.000 0.000
La 0.000 2.660 0.000
La 2.660 0.000 0.000
Mn 2.660 2.660 2.238
Al 0.000 0.000 2.238
```

Mass density   4.81 g cm⁻³
Formation energy from the elements   857 meV per atom
Polymorph energy (0 for the lowest one)   823 meV/atom
Spin magnetization   0.6 Bohr magnetons per cell